DFT (PBE-GGA) results for MgAs2Pt after structural relaxation.

Computed properties:
The energy of formation is -12.88 kJ per mole of atoms. The density of states at the Fermi level comes out at 0.369 states/eV per atom.

Cell: 3.646 3.646 5.570 Å, 90.00 90.00 90.00°
Element x y z (fractional)
Mg1 0.000 0.000 0.000
As1 0.500 0.500 0.280
As2 0.500 0.500 0.720
Pt1 0.000 0.000 0.500

=====

DFT (PBE-GGA) results for MgAs2Pt after structural relaxation.

Computed properties:
The energy of formation is -19.20 kJ per mole of atoms. The density of states at the Fermi level comes out at 0.445 states/eV per atom.

Cell: 3.887 4.197 8.703 Å, 90.00 90.00 90.00°
Element x y z (fractional)
Mg1 0.000 0.000 0.000
Mg2 0.500 0.500 0.500
As1 0.000 0.000 0.474
As2 0.000 0.500 0.239
As3 0.500 0.000 0.739
As4 0.500 0.500 0.974
Pt1 0.000 0.500 0.759
Pt2 0.500 0.000 0.259

=====

DFT (PBE-GGA) results for Mg3AsPt after structural relaxation.

Computed properties:
Its energy above the lowest structure with this stoichiometry is 208 meV per atom. The energy of formation is 2.89 kJ per mole of atoms. The density of states at the Fermi level comes out at 0.542 states/eV per atom.

Cell: 4.860 4.860 4.860 Å, 90.00 90.00 90.00°
Element x y z (fractional)
Mg1 0.000 0.000 0.500
Mg2 0.000 0.500 0.000
Mg3 0.500 0.000 0.000
As1 0.000 0.000 0.000
Pt1 0.500 0.500 0.500

=====

DFT (PBE-GGA) results for MgAsPt3 after structural relaxation.

Computed properties:
Its energy above the lowest structure with this stoichiometry is 0 meV per atom. The energy of formation is 7.19 kJ per mole of atoms. The density of states at the Fermi level comes out at 0.830 states/eV per atom.

Cell: 4.680 4.680 4.680 Å, 90.00 90.00 90.00°
Element x y z (fractional)
Mg1 0.000 0.000 0.000
As1 0.500 0.500 0.500
Pt1 0.000 0.500 0.500
Pt2 0.500 0.000 0.500
Pt3 0.500 0.500 0.000

=====

DFT (PBE-GGA) results for MgAs2Pt after structural relaxation.

Computed properties:
The energy of formation is -14.03 kJ per mole of atoms. The density of states at the Fermi level comes out at 0.449 states/eV per atom.

Cell: 6.332 6.332 9.612 Å, 90.00 90.00 90.00°
Element x y z (fractional)
Mg1 0.000 0.000 0.000
Mg2 0.000 0.500 0.250
Mg3 0.500 0.000 0.750
Mg4 0.500 0.500 0.500
As1 0.216 0.250 0.625
As2 0.250 0.716 0.875
As3 0.250 0.784 0.375
As4 0.284 0.250 0.125
As5 0.716 0.750 0.125
As6 0.750 0.216 0.375
As7 0.750 0.284 0.875
As8 0.784 0.750 0.625
Pt1 0.000 0.000 0.500
Pt2 0.000 0.500 0.750
Pt3 0.500 0.000 0.250
Pt4 0.500 0.500 0.000

=====

DFT (PBE-GGA) results for MgAs2Pt after structural relaxation.

Computed properties:
The energy of formation is -12.17 kJ per mole of atoms. The density of states at the Fermi level comes out at 0.522 states/eV per atom.

Cell: 4.406 4.406 7.349 Å, 90.00 90.00 90.00°
Element x y z (fractional)
Mg1 0.000 0.000 0.000
Mg2 0.500 0.500 0.500
As1 0.000 0.500 0.250
As2 0.000 0.500 0.750
As3 0.500 0.000 0.250
As4 0.500 0.000 0.750
Pt1 0.000 0.000 0.500
Pt2 0.500 0.500 0.000